Computed, not measured: a relaxed structure of Sr2Al5Pd at the PBE-GGA level of DFT.

Energy of formation, eV/atom: -0.273
SG: I4mm, No. 107
Raw total energy, eV per atom: -3.6816
Total magnetization, μB/f.u.: 0.00
Crystal system: tetragonal

a = 7.131 Å, b = 7.131 Å, c = 7.131 Å
α = 70.97°, β = 131.53°, γ = 131.53°
Element x y z (fractional)
Sr: 0.500 0.214 0.714
Sr: 0.500 0.714 0.214
Al: 0.492 0.717 0.717
Al: 0.000 0.717 0.224
Al: 0.000 0.224 0.717
Al: 0.508 0.224 0.224
Al: 0.000 0.318 0.318
Pd: 0.000 0.094 0.094

=====

Computed, not measured: a relaxed structure of Sr2Al3Pd at the PBE-GGA level of DFT.

Energy of formation, eV/atom: -0.416
SG: C2/m, No. 12
Raw total energy, eV per atom: -3.7132
Total magnetization, μB/f.u.: 0.00
Crystal system: monoclinic

a = 5.730 Å, b = 5.730 Å, c = 5.804 Å
α = 90.18°, β = 119.74°, γ = 119.63°
Element x y z (fractional)
Sr: 0.749 0.374 0.124
Sr: 0.251 0.626 0.876
Al: 0.500 0.500 0.500
Al: 0.000 0.000 0.500
Al: 0.500 0.000 0.500
Pd: 0.000 0.000 0.000

=====

Computed, not measured: a relaxed structure of SrAl4Pd at the PBE-GGA level of DFT.

Energy of formation, eV/atom: -0.282
SG: Fmmm, No. 69
Raw total energy, eV per atom: -3.9228
Total magnetization, μB/f.u.: 0.00
Crystal system: orthorhombic

a = 6.200 Å, b = 6.200 Å, c = 8.477 Å
α = 68.52°, β = 68.52°, γ = 89.94°
Element x y z (fractional)
Sr: 0.500 0.500 0.000
Sr: 0.000 0.000 0.000
Al: 0.979 0.174 0.347
Al: 0.174 0.674 0.347
Al: 0.478 0.978 0.347
Al: 0.522 0.022 0.653
Al: 0.826 0.326 0.653
Al: 0.021 0.826 0.653
Al: 0.326 0.521 0.653
Al: 0.674 0.479 0.347
Pd: 0.750 0.750 0.500
Pd: 0.250 0.250 0.500

=====

Computed, not measured: a relaxed structure of Sr4Al3Pd2 at the PBE-GGA level of DFT.

Energy of formation, eV/atom: -0.449
SG: C2/m, No. 12
Raw total energy, eV per atom: -3.5984
Total magnetization, μB/f.u.: 0.00
Crystal system: monoclinic

a = 4.182 Å, b = 7.678 Å, c = 8.721 Å
α = 107.96°, β = 103.87°, γ = 90.00°
Element x y z (fractional)
Sr: 0.232 0.689 0.463
Sr: 0.768 0.311 0.537
Sr: 0.579 0.886 0.158
Sr: 0.421 0.114 0.842
Al: 0.095 0.260 0.191
Al: 0.905 0.740 0.809
Al: 0.000 0.500 0.000
Pd: 0.416 0.552 0.832
Pd: 0.584 0.448 0.168

=====

Computed, not measured: a relaxed structure of Sr2AlTePd at the PBE-GGA level of DFT.

SG: P4/mmm, No. 123
Raw total energy, eV per atom: -3.8224
Total magnetization, μB/f.u.: 0.00
Crystal system: tetragonal
Energy relative to the elements, uncorrected, eV per atom: -0.73

a = 5.862 Å, b = 5.862 Å, c = 4.757 Å
α = 90.00°, β = 90.00°, γ = 90.00°
Element x y z (fractional)
Sr: 0.000 0.500 0.000
Sr: 0.500 0.000 0.000
Te: 0.500 0.500 0.500
Al: 0.000 0.000 0.500
Pd: 0.000 0.000 0.000

=====

Computed, not measured: a relaxed structure of SrAlTl2Pd at the PBE-GGA level of DFT.

Energy of formation, eV/atom: -0.158
SG: P4/mmm, No. 123
Raw total energy, eV per atom: -3.2281
Total magnetization, μB/f.u.: 0.00
Crystal system: tetragonal

a = 5.411 Å, b = 4.857 Å, c = 5.411 Å
α = 90.00°, β = 90.00°, γ = 90.00°
Element x y z (fractional)
Sr: 0.500 0.500 0.500
Tl: 0.000 0.000 0.500
Tl: 0.500 0.000 0.000
Al: 0.000 0.500 0.000
Pd: 0.000 0.000 0.000

=====

Computed, not measured: a relaxed structure of Sr2AlTlPd at the PBE-GGA level of DFT.

Energy of formation, eV/atom: -0.354
SG: P4/mmm, No. 123
Raw total energy, eV per atom: -3.2869
Total magnetization, μB/f.u.: 0.00
Crystal system: tetragonal

a = 5.904 Å, b = 5.904 Å, c = 4.793 Å
α = 90.00°, β = 90.00°, γ = 90.00°
Element x y z (fractional)
Sr: 0.000 0.500 0.000
Sr: 0.500 0.000 0.000
Tl: 0.500 0.500 0.500
Al: 0.000 0.000 0.500
Pd: 0.000 0.000 0.000

=====

Computed, not measured: a relaxed structure of SrAlZnPd3 at the PBE-GGA level of DFT.

Energy of formation, eV/atom: -0.504
SG: Cmcm, No. 63
Raw total energy, eV per atom: -4.2169
Total magnetization, μB/f.u.: 0.00
Crystal system: orthorhombic

a = 5.910 Å, b = 6.881 Å, c = 7.028 Å
α = 119.31°, β = 90.00°, γ = 90.00°
Element x y z (fractional)
Sr: 0.750 0.280 0.560
Sr: 0.250 0.720 0.440
Al: 0.250 0.382 0.764
Al: 0.750 0.618 0.236
Zn: 0.250 0.977 0.953
Zn: 0.750 0.023 0.047
Pd: 0.250 0.184 0.367
Pd: 0.000 0.294 0.000
Pd: 0.500 0.706 0.000
Pd: 0.500 0.294 0.000
Pd: 0.000 0.706 0.000
Pd: 0.750 0.816 0.633

=====

Computed, not measured: a relaxed structure of Sr2AlZn6Pd at the PBE-GGA level of DFT.

Energy of formation, eV/atom: -0.249
SG: P-1, No. 2
Raw total energy, eV per atom: -2.2438
Total magnetization, μB/f.u.: 0.00
Crystal system: triclinic

a = 6.979 Å, b = 6.975 Å, c = 6.993 Å
α = 79.06°, β = 44.22°, γ = 95.65°
Element x y z (fractional)
Sr: 0.743 0.298 0.446
Sr: 0.257 0.702 0.554
Al: 0.500 0.500 0.000
Zn: 0.227 0.227 0.501
Zn: 0.754 0.910 0.841
Zn: 0.273 0.775 0.000
Zn: 0.727 0.225 0.000
Zn: 0.246 0.090 0.159
Zn: 0.773 0.773 0.499
Pd: 0.000 0.000 0.000

=====

Computed, not measured: a relaxed structure of SrAlZn2Pd at the PBE-GGA level of DFT.

Energy of formation, eV/atom: -0.444
SG: Imm2, No. 44
ΔE to the lowest computed polymorph, meV/atom: 0
Raw total energy, eV per atom: -3.0772
Total magnetization, μB/f.u.: 0.00
Crystal system: orthorhombic

a = 4.207 Å, b = 4.410 Å, c = 6.365 Å
α = 110.27°, β = 109.30°, γ = 90.00°
Element x y z (fractional)
Sr: 0.443 0.443 0.887
Al: 0.195 0.695 0.390
Zn: 0.697 0.197 0.394
Zn: 0.056 0.056 0.112
Pd: 0.821 0.821 0.642

=====

Computed, not measured: a relaxed structure of SrAlZn2Pd at the PBE-GGA level of DFT.

Energy of formation, eV/atom: -0.295
SG: P4/mmm, No. 123
ΔE to the lowest computed polymorph, meV/atom: 149
Raw total energy, eV per atom: -2.9280
Total magnetization, μB/f.u.: 0.00
Crystal system: tetragonal

a = 4.921 Å, b = 4.921 Å, c = 4.769 Å
α = 90.00°, β = 90.00°, γ = 90.00°
Element x y z (fractional)
Sr: 0.500 0.500 0.500
Zn: 0.000 0.500 0.000
Zn: 0.500 0.000 0.000
Al: 0.000 0.000 0.500
Pd: 0.000 0.000 0.000

=====

Computed, not measured: a relaxed structure of Sr2AlZnPd6 at the PBE-GGA level of DFT.

Energy of formation, eV/atom: -0.556
SG: P-1, No. 2
Raw total energy, eV per atom: -4.5100
Total magnetization, μB/f.u.: 0.00
Crystal system: triclinic

a = 6.664 Å, b = 6.708 Å, c = 6.669 Å
α = 59.95°, β = 59.90°, γ = 89.98°
Element x y z (fractional)
Sr: 0.797 0.206 0.409
Sr: 0.203 0.794 0.591
Al: 0.000 0.000 0.000
Zn: 0.500 0.500 0.000
Pd: 0.321 0.363 0.511
Pd: 0.640 0.831 0.039
Pd: 0.170 0.681 0.190
Pd: 0.830 0.319 0.810
Pd: 0.360 0.169 0.961
Pd: 0.679 0.637 0.489